Compound: BaEu2
Source: Alexandria
Functional: PBE
Structure: relaxed

a = 4.138 Å, b = 4.138 Å, c = 17.273 Å
α = 90.00°, β = 90.00°, γ = 90.00°
Space group I4/mmm (No. 139)
Symmetry-distinct sites (fractional):
Ba 0.000 0.000 0.000 (multiplicity 2)
Eu 0.000 0.000 0.324 (multiplicity 4)

**Magnetization**: 30.63 μB per cell
**Calculated volume**: 147.92 Å³/f.u.
**E_tot**: -7.451 eV/atom